Entry 1:
Pd3Se2S: relaxed, PBE.

a b c (Å): 5.584 6.500 6.500
angles (deg): 107.14 90.00 90.00
Element x y z (fractional)
Pd: 0.449 0.107 0.791
Pd: 0.949 0.209 0.893
Pd: 0.426 0.434 0.434
Pd: 0.926 0.566 0.566
Pd: 0.949 0.893 0.209
Pd: 0.449 0.791 0.107
Se: 0.747 0.193 0.531
Se: 0.247 0.469 0.807
Se: 0.247 0.807 0.469
Se: 0.747 0.531 0.193
S: 0.750 0.865 0.865
S: 0.250 0.135 0.135

E above lowest polymorph   0.0971 eV/atom
Fermi-level density of states   4.71 states/eV/cell
M_tot   0.00 μB/cell
ρ   7.50 Mg/m³
SG   Cmc2_1

Entry 2:
MnPb2W: relaxed, PBE.

a b c (Å): 3.137 3.137 9.271
angles (deg): 90.00 90.00 111.89
Element x y z (fractional)
Mn: 0.500 0.500 0.750
Pb: 0.000 0.000 0.999
Pb: 0.000 0.000 0.501
W: 0.500 0.500 0.250

E above lowest polymorph   0.5186 eV/atom
Fermi-level density of states   3.77 states/eV/cell
M_tot   3.67 μB/cell
ρ   12.81 Mg/m³
SG   Cmmm

Entry 3:
K2SrAgI5: relaxed, PBE.

a b c (Å): 4.801 10.755 15.240
angles (deg): 90.00 90.00 102.90
Element x y z (fractional)
K: 0.882 0.765 0.835
K: 0.109 0.217 0.681
K: 0.118 0.235 0.335
K: 0.891 0.783 0.181
Sr: 0.799 0.599 0.525
Sr: 0.201 0.401 0.025
Ag: 0.559 0.117 0.929
Ag: 0.441 0.883 0.429
I: 0.356 0.712 0.011
I: 0.696 0.392 0.874
I: 0.498 0.996 0.765
I: 0.292 0.585 0.674
I: 0.956 0.913 0.529
I: 0.644 0.288 0.511
I: 0.304 0.608 0.374
I: 0.502 0.004 0.265
I: 0.708 0.415 0.174
I: 0.044 0.087 0.029

Fermi-level density of states   0.00 states/eV/cell
M_tot   0.00 μB/cell
ρ   3.93 Mg/m³
Uncorrected energy   -2.89 eV per atom
SG   Cmc2_1

Entry 4:
LaY: relaxed, PBE.

a b c (Å): 8.788 8.788 8.788
angles (deg): 90.00 90.00 90.00
Element x y z (fractional)
La: 0.250 0.500 0.000
La: 0.750 0.500 0.000
La: 0.500 0.000 0.250
La: 0.500 0.000 0.750
La: 0.000 0.250 0.500
La: 0.000 0.750 0.500
Y: 0.250 0.000 0.500
Y: 0.750 0.000 0.500
Y: 0.000 0.500 0.250
Y: 0.000 0.500 0.750
Y: 0.500 0.250 0.000
Y: 0.500 0.750 0.000

E above lowest polymorph   1.7784 eV/atom
Fermi-level density of states   21.06 states/eV/cell
M_tot   0.02 μB/cell
ρ   3.34 Mg/m³
SG   Pm-3n

Entry 5:
Ga3Ni12Sn: relaxed, PBE.

a b c (Å): 3.631 3.631 14.414
angles (deg): 90.00 90.00 90.00
Element x y z (fractional)
Ga: 0.000 0.000 0.256
Ga: 0.000 0.000 0.500
Ga: 0.000 0.000 0.744
Ni: 0.500 0.500 0.000
Ni: 0.500 0.500 0.255
Ni: 0.500 0.500 0.500
Ni: 0.500 0.500 0.745
Ni: 0.500 0.000 0.134
Ni: 0.500 0.000 0.378
Ni: 0.500 0.000 0.622
Ni: 0.500 0.000 0.866
Ni: 0.000 0.500 0.134
Ni: 0.000 0.500 0.378
Ni: 0.000 0.500 0.622
Ni: 0.000 0.500 0.866
Sn: 0.000 0.000 0.000

Fermi-level density of states   16.11 states/eV/cell
M_tot   2.44 μB/cell
ρ   9.02 Mg/m³
Uncorrected energy   -5.41 eV per atom
SG   P4/mmm

Entry 6:
La2MoRu: relaxed, PBE.

a b c (Å): 3.490 5.474 4.548
angles (deg): 90.00 90.00 90.00
Element x y z (fractional)
La: 0.000 0.000 0.000
La: 0.500 0.500 0.000
Mo: 0.500 0.000 0.500
Ru: 0.000 0.500 0.500

E above lowest polymorph   0.3665 eV/atom
Fermi-level density of states   3.21 states/eV/cell
M_tot   0.00 μB/cell
ρ   9.08 Mg/m³
SG   Pmmm

Entry 7:
Ag3C4: relaxed, PBE.

a b c (Å): 12.419 12.419 12.419
angles (deg): 168.19 168.19 16.72
Element x y z (fractional)
Ag: 0.000 0.000 0.000
Ag: 0.701 0.701 0.000
Ag: 0.299 0.299 0.000
C: 0.904 0.904 0.000
C: 0.096 0.096 0.000
C: 0.604 0.604 0.000
C: 0.396 0.396 0.000

E above lowest polymorph   0.4721 eV/atom
Fermi-level density of states   3.32 states/eV/cell
M_tot   0.00 μB/cell
ρ   7.70 Mg/m³
SG   I4/mmm

Entry 8:
Cs5Tb2F12: relaxed, PBE.

a b c (Å): 7.141 8.437 8.437
angles (deg): 61.01 84.21 84.21
Element x y z (fractional)
Cs: 0.028 0.238 0.238
Cs: 0.518 0.363 0.363
Cs: 0.500 0.000 0.000
Cs: 0.482 0.637 0.637
Cs: 0.972 0.762 0.762
Tb: 0.000 0.727 0.273
Tb: 0.000 0.273 0.727
F: 0.897 0.052 0.052
F: 0.201 0.155 0.584
F: 0.201 0.584 0.155
F: 0.783 0.117 0.696
F: 0.783 0.696 0.117
F: 0.842 0.471 0.471
F: 0.158 0.529 0.529
F: 0.217 0.883 0.304
F: 0.217 0.304 0.883
F: 0.799 0.845 0.416
F: 0.799 0.416 0.845
F: 0.103 0.948 0.948

Fermi-level density of states   2.45 states/eV/cell
M_tot   1.35 μB/cell
ρ   4.55 Mg/m³
Uncorrected energy   -5.07 eV per atom
SG   C2/m

Entry 9:
Pm6TlIn5: relaxed, PBE.

a b c (Å): 6.687 9.961 7.602
angles (deg): 49.07 81.66 77.21
Element x y z (fractional)
Pm: 0.750 0.083 0.335
Pm: 0.250 0.583 0.335
Pm: 0.254 0.249 0.000
Pm: 0.746 0.751 0.000
Pm: 0.750 0.417 0.665
Pm: 0.250 0.917 0.665
Tl: 0.000 0.000 0.000
In: 0.500 0.169 0.662
In: 0.000 0.336 0.328
In: 0.500 0.500 0.000
In: 0.000 0.664 0.672
In: 0.500 0.831 0.338

E above lowest polymorph   0.1696 eV/atom
Fermi-level density of states   10.83 states/eV/cell
M_tot   0.00 μB/cell
ρ   7.34 Mg/m³
SG   C2/m

Entry 10:
AcTbSmIn: relaxed, PBE.

a b c (Å): 5.645 5.645 5.645
angles (deg): 60.00 60.00 60.00
Element x y z (fractional)
Ac: 0.750 0.750 0.750
Tb: 0.500 0.500 0.500
Sm: 0.000 0.000 0.000
In: 0.250 0.250 0.250

Fermi-level density of states   7.62 states/eV/cell
M_tot   0.02 μB/cell
ρ   8.50 Mg/m³
Uncorrected energy   -4.11 eV per atom
SG   F-43m

Entry 11:
HfCd2As: relaxed, PBE.

a b c (Å): 8.104 8.104 6.339
angles (deg): 50.27 50.27 90.00
Element x y z (fractional)
As: 0.500 0.500 0.000
As: 0.250 0.750 0.500
Hf: 0.000 0.000 0.000
Hf: 0.750 0.250 0.500
Cd: 0.597 0.125 0.250
Cd: 0.153 0.625 0.250
Cd: 0.375 0.403 0.750
Cd: 0.875 0.847 0.750

Fermi-level density of states   4.70 states/eV/cell
M_tot   0.00 μB/cell
ρ   8.93 Mg/m³
Uncorrected energy   -4.08 eV per atom
SG   I-42d

Entry 12:
DyInRh: relaxed, PBE.

a b c (Å): 3.400 4.694 4.694
angles (deg): 120.00 90.00 90.00
Element x y z (fractional)
In: 0.166 0.000 0.000
Rh: 0.167 0.333 0.667
Dy: 0.667 0.667 0.333

Fermi-level density of states   1.82 states/eV/cell
M_tot   0.00 μB/cell
ρ   9.73 Mg/m³
Uncorrected energy   -5.45 eV per atom
SG   P-6m2

Entry 13:
TlCd2Os: relaxed, PBE.

a b c (Å): 10.677 10.677 10.677
angles (deg): 16.36 16.36 16.36
Element x y z (fractional)
Tl: 0.750 0.750 0.750
Os: 0.250 0.250 0.250
Cd: 0.989 0.989 0.989
Cd: 0.511 0.511 0.511

E above lowest polymorph   0.1100 eV/atom
Fermi-level density of states   4.38 states/eV/cell
M_tot   0.00 μB/cell
ρ   12.22 Mg/m³
SG   R-3m

Entry 14:
TbGa4Ni2Ir: relaxed, PBE.

a b c (Å): 4.126 4.126 9.121
angles (deg): 76.93 76.93 60.00
Element x y z (fractional)
Tb: 0.000 0.000 0.000
Ga: 0.401 0.401 0.798
Ga: 0.872 0.872 0.384
Ga: 0.128 0.128 0.616
Ga: 0.599 0.599 0.202
Ni: 0.769 0.769 0.693
Ni: 0.231 0.231 0.307
Ir: 0.500 0.500 0.500

Fermi-level density of states   4.74 states/eV/cell
M_tot   0.00 μB/cell
ρ   9.56 Mg/m³
Uncorrected energy   -5.11 eV per atom
SG   R-3m

Entry 15:
NdIn6Ag6: relaxed, PBE.

a b c (Å): 5.864 7.522 7.522
angles (deg): 80.63 67.06 67.06
Element x y z (fractional)
Nd: 0.000 0.000 0.000
In: 0.345 0.655 0.655
In: 0.655 0.345 0.345
In: 0.000 0.345 0.655
In: 0.000 0.655 0.345
In: 0.314 0.186 0.186
In: 0.686 0.814 0.814
Ag: 0.000 0.500 0.000
Ag: 0.500 0.500 0.000
Ag: 0.000 0.000 0.500
Ag: 0.500 0.000 0.500
Ag: 0.500 0.767 0.233
Ag: 0.500 0.233 0.767

Fermi-level density of states   4.27 states/eV/cell
M_tot   0.00 μB/cell
ρ   8.74 Mg/m³
Uncorrected energy   -3.12 eV per atom
SG   Immm

Entry 16:
Na8I5O: relaxed, PBE.

a b c (Å): 9.090 9.090 9.090
angles (deg): 60.00 60.00 60.00
Element x y z (fractional)
Na: 0.348 0.955 0.348
Na: 0.955 0.348 0.348
Na: 0.348 0.348 0.348
Na: 0.348 0.348 0.955
Na: 0.862 0.862 0.414
Na: 0.414 0.862 0.862
Na: 0.862 0.862 0.862
Na: 0.862 0.414 0.862
I: 0.000 0.000 0.000
I: 0.620 0.620 0.139
I: 0.620 0.620 0.620
I: 0.139 0.620 0.620
I: 0.620 0.139 0.620
O: 0.250 0.250 0.250

Fermi-level density of states   2.81 states/eV/cell
M_tot   0.00 μB/cell
ρ   2.61 Mg/m³
Uncorrected energy   -2.70 eV per atom
SG   F-43m

Entry 17:
Ac2NpTlO6: relaxed, PBE.

a b c (Å): 6.134 6.461 9.688
angles (deg): 90.00 89.97 90.00
Element x y z (fractional)
Ac: 0.000 0.000 0.282
Ac: 0.500 0.500 0.782
Ac: 0.000 0.000 0.718
Ac: 0.500 0.500 0.218
Np: 0.500 0.000 0.500
Np: 0.000 0.500 0.000
Tl: 0.500 0.000 0.000
Tl: 0.000 0.500 0.500
O: 0.301 0.649 0.000
O: 0.801 0.851 0.500
O: 0.699 0.351 0.000
O: 0.199 0.149 0.500
O: 0.347 0.804 0.341
O: 0.847 0.696 0.841
O: 0.653 0.196 0.659
O: 0.153 0.304 0.159
O: 0.847 0.695 0.160
O: 0.347 0.805 0.660
O: 0.153 0.305 0.840
O: 0.653 0.195 0.340

Fermi-level density of states   13.20 states/eV/cell
M_tot   4.00 μB/cell
ρ   8.58 Mg/m³
Uncorrected energy   -8.15 eV per atom
SG   P2_1/c

Entry 18:
MnSn3N: relaxed, PBE.

a b c (Å): 4.895 4.895 4.895
angles (deg): 90.00 90.00 90.00
Element x y z (fractional)
Mn: 0.500 0.500 0.500
Sn: 0.000 0.500 0.000
Sn: 0.000 0.000 0.500
Sn: 0.500 0.000 0.000
N: 0.000 0.000 0.000

E above lowest polymorph   0.1174 eV/atom
Fermi-level density of states   4.98 states/eV/cell
M_tot   0.00 μB/cell
ρ   6.02 Mg/m³
SG   Pm-3m

Entry 19:
Mg2SiAu: relaxed, PBE.

a b c (Å): 4.544 4.544 5.742
angles (deg): 79.64 79.64 40.54
Element x y z (fractional)
Au: 0.750 0.750 0.750
Mg: 0.000 0.000 0.001
Mg: 0.500 0.500 0.499
Si: 0.250 0.250 0.250

Fermi-level density of states   1.17 states/eV/cell
M_tot   0.00 μB/cell
ρ   6.01 Mg/m³
Uncorrected energy   -3.09 eV per atom
SG   C2/m

Entry 20:
Rb3NaCu2I6: relaxed, PBE.

a b c (Å): 8.613 8.613 9.601
angles (deg): 90.00 90.00 120.00
Element x y z (fractional)
Rb: 0.333 0.667 0.639
Rb: 0.667 0.333 0.361
Rb: 0.000 0.000 0.000
Na: 0.000 0.000 0.500
Cu: 0.667 0.333 0.725
Cu: 0.333 0.667 0.275
I: 0.670 0.835 0.287
I: 0.165 0.330 0.287
I: 0.165 0.835 0.287
I: 0.835 0.670 0.713
I: 0.330 0.165 0.713
I: 0.835 0.165 0.713

Fermi-level density of states   0.00 states/eV/cell
M_tot   0.00 μB/cell
ρ   3.14 Mg/m³
Uncorrected energy   -2.74 eV per atom
SG   P-3m1